(1)
Below is a PBEsol-optimized structure of LiBRh2, with properties calculated at the SCAN level.

abc: 4.701 5.125 5.125
angles: 77.86 62.70 62.70
Element x y z (fractional)
Rh 0.712 0.413 0.913
Li 0.500 0.000 0.000
Rh 0.038 0.587 0.087
Rh 0.375 0.913 0.587
B 0.000 0.000 0.000
Rh 0.875 0.087 0.413
Li 0.250 0.500 0.500
B 0.750 0.500 0.500

- DFT total energy (eV for the cell shown) = -156.75
- magnetic moment (μB per formula unit) = 0.00



(2)
Below is a PBEsol-optimized structure of KIn3Co, with properties calculated at the SCAN level.

abc: 4.964 4.964 4.964
angles: 90.00 90.00 90.00
Each line ends with the local moment (μB).
Element x y z (fractional)
In 0.000 0.000 0.500  -0.01
K 0.500 0.500 0.500  0.01
Co 0.000 0.000 0.000  0.61
In 0.500 0.000 0.000  -0.01
In 0.000 0.500 0.000  -0.01

- DFT total energy (eV for the cell shown) = -126.24
- magnetic moment (μB per formula unit) = 0.76



(3)
Below is a PBEsol-optimized structure of YNiHg, with properties calculated at the SCAN level.

abc: 4.578 4.578 4.578
angles: 60.00 60.00 60.00
Element x y z (fractional)
Ni 0.000 0.000 0.000
Y 0.500 0.500 0.500
Hg 0.250 0.250 0.250

- DFT total energy (eV for the cell shown) = -112.18
- magnetic moment (μB per formula unit) = 0.00



(4)
Below is a PBEsol-optimized structure of Y2Co14Cu3, with properties calculated at the SCAN level.

abc: 8.001 8.180 8.180
angles: 120.00 90.00 90.00
Each line ends with the local moment (μB).
Element x y z (fractional)
Co 0.016 0.838 0.162  1.69
Co 0.750 0.673 0.626  1.70
Y 0.750 0.000 0.000  -0.45
Co 0.250 0.047 0.374  1.70
Co 0.750 0.374 0.047  1.70
Co 0.484 0.838 0.162  1.69
Cu 0.000 0.500 0.500  0.06
Co 0.609 0.667 0.333  1.81
Co 0.250 0.327 0.374  1.70
Co 0.016 0.324 0.162  1.69
Co 0.484 0.324 0.162  1.69
Co 0.250 0.626 0.953  1.70
Co 0.984 0.676 0.838  1.69
Co 0.109 0.333 0.667  1.81
Co 0.250 0.327 0.953  1.70
Co 0.516 0.162 0.838  1.69
Co 0.516 0.162 0.324  1.69
Cu 0.500 0.500 0.500  0.06
Cu 0.500 0.000 0.500  0.06
Y 0.250 0.000 0.000  -0.45
Co 0.391 0.333 0.667  1.81
Co 0.250 0.626 0.673  1.70
Cu 0.500 0.500 0.000  0.06
Cu 0.000 0.500 0.000  0.06
Co 0.750 0.953 0.327  1.70
Y 0.750 0.333 0.667  -0.49
Co 0.750 0.673 0.047  1.70
Co 0.750 0.953 0.626  1.70
Y 0.250 0.667 0.333  -0.49
Co 0.984 0.162 0.324  1.69
Co 0.250 0.047 0.673  1.70
Cu 0.000 0.000 0.500  0.06
Co 0.484 0.838 0.676  1.69
Co 0.016 0.838 0.676  1.69
Co 0.984 0.162 0.838  1.69
Co 0.516 0.676 0.838  1.69
Co 0.750 0.374 0.327  1.70
Co 0.891 0.667 0.333  1.81

- DFT total energy (eV for the cell shown) = -686.87
- magnetic moment (μB per formula unit) = 22.29



(5)
Below is a PBEsol-optimized structure of ZrTaIn, with properties calculated at the SCAN level.

abc: 3.556 3.556 5.385
angles: 109.28 109.28 90.00
Element x y z (fractional)
In 0.005 0.005 0.009
Zr 0.329 0.329 0.658
Ta 0.666 0.666 0.332

- DFT total energy (eV for the cell shown) = -130.74
- magnetic moment (μB per formula unit) = 0.00



(6)
Below is a PBEsol-optimized structure of La2YTc, with properties calculated at the SCAN level.

abc: 4.743 4.600 4.600
angles: 90.00 90.00 90.00
Element x y z (fractional)
Tc 0.500 0.500 0.500
La 0.000 0.000 0.500
Y 0.500 0.000 0.000
La 0.000 0.500 0.000

- DFT total energy (eV for the cell shown) = -147.69
- magnetic moment (μB per formula unit) = 0.00